Record 1
Cl4F | PBE-GGA | optimized geometry

Geometry as POSCAR:
```
Cl4F
1.0
4.759 0.000 0.000
0.000 4.759 0.000
0.000 0.000 4.759
Cl F
4 1
direct
0.000 0.000 0.000 Cl
0.000 0.500 0.500 Cl
0.500 0.000 0.500 Cl
0.500 0.500 0.000 Cl
0.500 0.500 0.500 F
```

As for the symmetry: No. 221. The value obtained for the total energy is -5.44 eV/f.u. The magnetization is 0.414 μB per atom. For the density of states at the Fermi level, the calculation gives 4.54 states/eV/cell. As for the energy relative to the lowest polymorph listed for this composition: 824.5 meV per atom. Its formation energy from raw total energies is 0.763 eV per atom.

***

Record 2
Cl3F | PBE-GGA | optimized geometry

Geometry as POSCAR:
```
Cl3F
1.0
4.191 0.000 0.000
0.000 5.331 0.000
0.000 0.000 5.219
Cl F
3 1
direct
0.000 0.000 0.000 Cl
0.000 0.500 0.436 Cl
0.500 0.000 0.881 Cl
0.500 0.500 0.426 F
```

As for the symmetry: No. 25. The value obtained for the total energy is -7.19 eV/f.u. The magnetization is 0.086 μB per atom. For the density of states at the Fermi level, the calculation gives 4.48 states/eV/cell. As for the energy relative to the lowest polymorph listed for this composition: 244.4 meV per atom. Its formation energy from raw total energies is 0.056 eV per atom.

***

Record 3
Cl3F | PBE-GGA | optimized geometry

Geometry as POSCAR:
```
Cl3F
1.0
5.401 0.000 0.000
0.008 6.347 0.000
0.738 0.291 6.686
Cl F
6 2
direct
0.051 0.320 0.227 Cl
0.236 0.783 0.578 Cl
0.367 0.107 0.749 Cl
0.633 0.893 0.251 Cl
0.764 0.217 0.422 Cl
0.949 0.680 0.773 Cl
0.448 0.326 0.870 F
0.552 0.674 0.130 F
```

As for the symmetry: No. 2. The value obtained for the total energy is -8.16 eV/f.u. The magnetization is 0.000 μB per atom. For the density of states at the Fermi level, the calculation gives 0.00 states/eV/cell. As for the energy relative to the lowest polymorph listed for this composition: 0.0 meV per atom. Its formation energy from raw total energies is -0.188 eV per atom.

***

Record 4
Cl3F | PBE-GGA | optimized geometry

Geometry as POSCAR:
```
Cl3F
1.0
1.946 1.124 7.524
-1.946 1.124 7.524
0.000 -2.248 7.524
Cl F
3 1
direct
0.000 0.000 0.000 Cl
0.097 0.097 0.097 Cl
0.903 0.903 0.903 Cl
0.500 0.500 0.500 F
```

As for the symmetry: No. 166. The value obtained for the total energy is -6.42 eV/f.u. The magnetization is 0.500 μB per atom. For the density of states at the Fermi level, the calculation gives 0.63 states/eV/cell. As for the energy relative to the lowest polymorph listed for this composition: 436.2 meV per atom. Its formation energy from raw total energies is 0.248 eV per atom.

***

Record 5
ClF4 | PBE-GGA | optimized geometry

Geometry as POSCAR:
```
ClF4
1.0
5.926 -3.119 0.000
5.926 3.119 0.000
-1.099 0.000 4.348
Cl F
2 8
direct
0.174 0.174 0.214 Cl
0.826 0.826 0.786 Cl
0.099 0.099 0.855 F
0.109 0.552 0.800 F
0.448 0.891 0.200 F
0.462 0.462 0.350 F
0.538 0.538 0.650 F
0.552 0.109 0.800 F
0.891 0.448 0.200 F
0.901 0.901 0.145 F
```

As for the symmetry: No. 12. The value obtained for the total energy is -11.76 eV/f.u. The magnetization is 0.000 μB per atom. For the density of states at the Fermi level, the calculation gives 0.00 states/eV/cell. As for the energy relative to the lowest polymorph listed for this composition: 62.0 meV per atom. Its formation energy from raw total energies is -0.486 eV per atom.

***

Question: Which value of magnetization does entry 1 give?
Answer: 0.414 μB per atom